Record 1
## Zn12NiIr2 (GGA-PBE)

Data for a geometry-optimized Zn12NiIr2 structure.

```
data_Zn12NiIr2
_cell_length_a 4.8933
_cell_length_b 4.8933
_cell_length_c 19.1901
_cell_angle_alpha 90.00
_cell_angle_beta 90.00
_cell_angle_gamma 90.00
_space_group_name_H-M_alt 'P 4/n b m'
_space_group_IT_number 125
loop_
_space_group_symop_operation_xyz
'x,y,z'
'-x,-y,-z'
'-y+1/2,x,z'
'y+1/2,-x,-z'
'-x+1/2,-y+1/2,z'
'x+1/2,y+1/2,-z'
'y,-x+1/2,z'
'-y,x+1/2,-z'
'x,-y+1/2,-z'
'-x,y+1/2,z'
'-y+1/2,-x+1/2,-z'
'y+1/2,x+1/2,z'
'-x+1/2,y,-z'
'x+1/2,-y,z'
'y,x,-z'
'-y,-x,z'
loop_
_atom_site_label
_atom_site_fract_x
_atom_site_fract_y
_atom_site_fract_z
Zn1 0.0026 0.5026 0.0920
Zn2 0.0720 0.5720 0.5690
Zn3 0.2500 0.2500 0.1999
Zn4 0.2500 0.2500 0.3278
Ni1 0.2500 0.7500 0.0000
Ir1 0.2500 0.7500 0.2686
```

Values from the calculation:
Raw total energy in eV per atom: -2.451

=====

Record 2
## Zn2Ni15Ir2 (GGA-PBE)

Data for a geometry-optimized Zn2Ni15Ir2 structure.

```
data_Zn2Ni15Ir2
_cell_length_a 8.1057
_cell_length_b 8.1057
_cell_length_c 12.3508
_cell_angle_alpha 90.00
_cell_angle_beta 90.00
_cell_angle_gamma 120.00
_space_group_name_H-M_alt 'R -3 m'
_space_group_IT_number 166
_space_group_name_Hall '-R 3 2"'
loop_
_atom_site_label
_atom_site_fract_x
_atom_site_fract_y
_atom_site_fract_z
Zn1 0.0000 0.0000 0.1348
Ni1 0.0000 0.3186 0.5000
Ni2 0.0000 0.5000 0.0000
Ni3 0.0059 0.5030 0.6594
Ir1 0.0000 0.0000 0.4017
```

Values from the calculation:
Raw total energy in eV per atom: -5.514

=====

Record 3
## Zn7Ni3Ir2 (GGA-PBE)

Data for a geometry-optimized Zn7Ni3Ir2 structure.

```
data_Zn7Ni3Ir2
_cell_length_a 4.3246
_cell_length_b 26.8917
_cell_length_c 2.8245
_cell_angle_alpha 90.00
_cell_angle_beta 90.00
_cell_angle_gamma 90.00
_space_group_name_H-M_alt 'C m m m'
_space_group_IT_number 65
_space_group_name_Hall '-C 2 2'
loop_
_atom_site_label
_atom_site_fract_x
_atom_site_fract_y
_atom_site_fract_z
Zn1 0.0000 0.0000 0.0000
Zn2 0.0000 0.0919 0.5000
Zn3 0.0000 0.2715 0.0000
Zn4 0.0000 0.4252 0.0000
Ni1 0.0000 0.3480 0.5000
Ni2 0.0000 0.5000 0.5000
Ir1 0.0000 0.1731 0.0000
```

Values from the calculation:
Raw total energy in eV per atom: -3.731

=====

Record 4
## Zn6Ni23Ir (GGA-PBE)

Data for a geometry-optimized Zn6Ni23Ir structure.

```
data_Zn6Ni23Ir
_cell_length_a 11.2483
_cell_length_b 11.2483
_cell_length_c 11.2483
_cell_angle_alpha 90.00
_cell_angle_beta 90.00
_cell_angle_gamma 90.00
_space_group_name_H-M_alt 'F m -3 m'
_space_group_IT_number 225
_space_group_name_Hall '-F 4 2 3'
loop_
_atom_site_label
_atom_site_fract_x
_atom_site_fract_y
_atom_site_fract_z
Zn1 0.0000 0.0000 0.2449
Ni1 0.0000 0.0000 0.5000
Ni2 0.0000 0.2500 0.2500
Ni3 0.1305 0.1305 0.3695
Ni4 0.1400 0.1400 0.1400
Ir1 0.0000 0.0000 0.0000
```

Values from the calculation:
Raw total energy in eV per atom: -4.931

=====

no.,energy of formation from the pure elements (eV/atom)
1,0.135
2,0.117
3,-0.066
4,0.052